A relaxed structure of MnBrCl2, computed with PBE-GGA.

Values from the calculation:
Formation energy (no corrections), meV per atom: -2.3
SG: C2/m
Crystal system: monoclinic
ΔE to the lowest computed polymorph, meV per atom: 832.4
Calculated volume, Å³/cell: 98
Calculated density, Mg/m³: 3.48
DOS(E_F), states/eV/f.u.: 2.8

Cell: 4.7704 5.3731 4.7899 Å, 66.73 83.44 113.14°
Last column: nearest neighbours and their distance in Å.
Atoms (fractional coordinates):
Br  0.5000  0.5000  0.0000  4 Cl 2.81
Cl  0.0000  0.0000  0.0000  2 Mn 2.81, 2 Br 2.81
Cl  0.5000  0.0000  0.5000  2 Br 2.81, 2 Mn 2.81
Mn  0.0000  0.5000  0.5000  4 Cl 2.81

---

A relaxed structure of Mn2BrCl4, computed with PBE-GGA.

Values from the calculation:
Formation energy (no corrections), meV per atom: -907.8
SG: Fdd2
Crystal system: orthorhombic
Calculated volume, Å³/cell: 388
Calculated density, Mg/m³: 2.84
DOS(E_F), states/eV/f.u.: 1.9

Cell: 7.4695 8.8507 7.4754 Å, 77.84 60.03 65.04°
Last column: nearest neighbours and their distance in Å.
Atoms (fractional coordinates):
Mn  0.4876  0.1602  0.2432  4 Cl 2.36-2.42, 1 Br 2.53
Mn  0.3977  0.3398  0.7434  4 Cl 2.36-2.42, 1 Br 2.53
Mn  0.4809  0.6602  0.2566  4 Cl 2.36-2.42, 1 Br 2.53
Mn  0.8910  0.8398  0.7568  4 Cl 2.36-2.42, 1 Br 2.53
Cl  0.0848  0.7211  0.4258  2 Mn 2.36-2.42
Cl  0.4343  0.9048  0.3905  2 Mn 2.40
Cl  0.0887  0.5952  0.8910  2 Mn 2.40
Cl  0.7297  0.0952  0.6095  2 Mn 2.40
Cl  0.2318  0.2789  0.5742  2 Mn 2.36-2.42
Cl  0.2603  0.2212  0.0744  2 Mn 2.36-2.42
Cl  0.5559  0.7788  0.9256  2 Mn 2.36-2.42
Cl  0.5748  0.4048  0.1090  2 Mn 2.40
Br  0.6412  0.5000  0.5000  2 Mn 2.53
Br  0.8915  0.0000  0.0000  2 Mn 2.53

---

A relaxed structure of MnBrCl2, computed with PBE-GGA.

Values from the calculation:
Formation energy (no corrections), meV per atom: -35.8
SG: I-42d
Crystal system: tetragonal
ΔE to the lowest computed polymorph, meV per atom: 799.0
Calculated volume, Å³/cell: 204
Calculated density, Mg/m³: 3.34
DOS(E_F), states/eV/f.u.: 7.3

Cell: 6.6798 6.6798 6.5810 Å, 59.50 59.50 90.00°
Last column: nearest neighbours and their distance in Å.
Atoms (fractional coordinates):
Cl  0.2707  0.6250  0.2500  2 Mn 2.14
Cl  0.3750  0.5207  0.7500  2 Mn 2.14
Cl  0.8750  0.7293  0.7500  2 Mn 2.14
Cl  0.4793  0.1250  0.2500  2 Mn 2.14
Br  0.0000  0.0000  0.0000  4 Cl 3.33
Br  0.7500  0.2500  0.5000  4 Cl 3.33
Mn  0.2500  0.7500  0.5000  4 Cl 2.14
Mn  0.5000  0.5000  0.0000  4 Cl 2.14